PBE AcIn4Ag12, optimized geometry; calculated formation energy = 0.24 eV per atom; crystal system = cubic; calculated density = 7.73 g cm⁻³
1.0
8.2085 0.0000 0.0000
-2.7362 7.7390 0.0000
-2.7362 -3.8695 6.7022
In Ag Ac
4 12 1
Cartesian
-1.3681 3.8695 0.0000
1.3681 1.9348 3.3511
4.1042 0.0000 0.0000
-1.3681 -1.9348 3.3511
1.5959 0.5698 5.7281
-1.1402 0.8063 3.3447
0.0052 4.1134 4.3316
4.3321 -1.3760 4.3316
3.8764 3.0632 3.3575
-0.0052 -1.6946 5.7281
5.4775 1.9311 1.3965
1.1402 3.2998 0.9741
2.7413 5.5641 0.9741
2.7310 -0.2439 2.3706
-1.5959 5.2455 2.3706
-2.7414 1.9384 5.3057
0.0000 0.0000 0.0000